First-principles (GGA-PBE) data for crystalline LaCu6Au6 at its relaxed geometry, as listed in the Alexandria database.

abc: 5.2496 6.9213 6.9213
angles: 81.83 67.71 67.71
Closest atoms and distances in Å follow each position.
Atoms (fractional coordinates):
La  0.0000  0.0000  0.0000  8 Au 3.07-3.16, 4 Cu 3.38
Au  0.3054  0.1946  0.1946  6 Cu 2.67-2.77, 2 Au 2.96
Au  0.3447  0.6553  0.6553  6 Cu 2.76-2.78, 3 Au 2.81-2.96
Au  0.6553  0.3447  0.3447  6 Cu 2.76-2.78, 3 Au 2.81-2.96
Au  0.0000  0.6612  0.3388  6 Cu 2.74-2.79, 1 Au 2.92
Au  0.6946  0.8054  0.8054  6 Cu 2.67-2.77, 2 Au 2.96
Au  0.0000  0.3388  0.6612  6 Cu 2.74-2.79, 1 Au 2.92
Cu  0.0000  0.5000  0.0000  4 Cu 2.62, 6 Au 2.67-2.76
Cu  0.5000  0.7647  0.2353  4 Cu 2.62, 6 Au 2.77-2.79
Cu  0.0000  0.0000  0.5000  4 Cu 2.62, 6 Au 2.67-2.76
Cu  0.5000  0.5000  0.0000  4 Cu 2.62, 6 Au 2.67-2.76
Cu  0.5000  0.0000  0.5000  4 Cu 2.62, 6 Au 2.67-2.76
Cu  0.5000  0.2353  0.7647  4 Cu 2.62, 6 Au 2.77-2.79

Summary:
**V**: 215.3 Å³/f.u.
**Final energy**: -52.32 eV for the cell shown
**ΔH_f (0 K)**: -242 meV per atom
**Magnetization**: 0.000 μB/atom